The following is a PBE calculation of an optimized crystal structure of ScRe, from Alexandria via LeMat-Bulk.

Cell: 2.9658 2.9658 28.6878 Å, 90.00 90.00 120.00°
Fractional coordinates of all 12 atoms:
Sc1 0.0000 0.0000 0.1158
Sc2 0.0000 0.0000 0.8842
Sc3 0.3333 0.6667 0.5509
Sc4 0.3333 0.6667 0.7824
Sc5 0.6667 0.3333 0.2176
Sc6 0.6667 0.3333 0.4491
Re1 0.0000 0.0000 0.3690
Re2 0.0000 0.0000 0.6310
Re3 0.3333 0.6667 0.0357
Re4 0.3333 0.6667 0.2976
Re5 0.6667 0.3333 0.7024
Re6 0.6667 0.3333 0.9643

Summary:
Its space-group type is R-3m, No. 166.

=====

The following is a PBE calculation of an optimized crystal structure of Sc2Re, from Alexandria via LeMat-Bulk.

Cell: 4.7555 4.7555 5.8318 Å, 90.00 90.00 120.00°
Fractional coordinates of all 6 atoms:
Sc1 0.0000 0.0000 0.0000
Sc2 0.0000 0.0000 0.5000
Sc3 0.3333 0.6667 0.2500
Sc4 0.6667 0.3333 0.7500
Re1 0.3333 0.6667 0.7500
Re2 0.6667 0.3333 0.2500

Summary:
Its space-group type is P6_3/mmc, No. 194.

=====

The following is a PBE calculation of an optimized crystal structure of ScRe, from Alexandria via LeMat-Bulk.

Cell: 3.2196 4.6553 9.5334 Å, 90.00 90.00 90.00°
Fractional coordinates of all 8 atoms:
Sc1 0.0000 0.2500 0.1121
Sc2 0.0000 0.7500 0.8879
Sc3 0.5000 0.2500 0.3879
Sc4 0.5000 0.7500 0.6121
Re1 0.0000 0.2500 0.6468
Re2 0.0000 0.7500 0.3532
Re3 0.5000 0.2500 0.8532
Re4 0.5000 0.7500 0.1468

Summary:
Its space-group type is Imma, No. 74.

=====

The following is a PBE calculation of an optimized crystal structure of Sc3Re, from Alexandria via LeMat-Bulk.

Cell: 4.4448 4.4448 4.0056 Å, 90.00 90.00 90.00°
Fractional coordinates of all 4 atoms:
Sc1 0.0000 0.0000 0.0000
Sc2 0.0000 0.5000 0.5000
Sc3 0.5000 0.0000 0.5000
Re1 0.5000 0.5000 0.0000

Summary:
Its space-group type is P4/mmm, No. 123.

=====

The following is a PBE calculation of an optimized crystal structure of ScRe, from Alexandria via LeMat-Bulk.

Cell: 5.4123 5.4123 5.4123 Å, 90.00 90.00 90.00°
Fractional coordinates of all 8 atoms:
Sc1 0.0000 0.0000 0.0000
Sc2 0.0000 0.5000 0.5000
Sc3 0.5000 0.0000 0.5000
Sc4 0.5000 0.5000 0.0000
Re1 0.0000 0.0000 0.5000
Re2 0.0000 0.5000 0.0000
Re3 0.5000 0.0000 0.0000
Re4 0.5000 0.5000 0.5000

Summary:
Its space-group type is Fm-3m, No. 225.

=====

The following is a PBE calculation of an optimized crystal structure of Sc3Re, from Alexandria via LeMat-Bulk.

Cell: 3.0438 4.5760 5.9087 Å, 90.00 103.79 90.00°
Fractional coordinates of all 4 atoms:
Sc1 0.0000 0.0000 0.0000
Sc2 0.3228 0.5000 0.7242
Sc3 0.6772 0.5000 0.2758
Re1 0.5000 0.0000 0.5000

Summary:
Its space-group type is P2/m, No. 10.

=====

The following is a PBE calculation of an optimized crystal structure of Sc2Re, from Alexandria via LeMat-Bulk.

Cell: 10.8065 3.2413 7.4391 Å, 90.00 112.38 90.00°
Fractional coordinates of all 12 atoms:
Sc1 0.0068 0.0000 0.2098
Sc2 0.1805 0.5000 0.6328
Sc3 0.3195 0.0000 0.3672
Sc4 0.4932 0.5000 0.7902
Sc5 0.5068 0.5000 0.2098
Sc6 0.6805 0.0000 0.6328
Sc7 0.8195 0.5000 0.3672
Sc8 0.9932 0.0000 0.7902
Re1 0.1759 0.5000 0.0622
Re2 0.3241 0.0000 0.9378
Re3 0.6759 0.0000 0.0622
Re4 0.8241 0.5000 0.9378

Summary:
Its space-group type is C2/m, No. 12.

=====

The following is a PBE calculation of an optimized crystal structure of Sc5Re3, from Alexandria via LeMat-Bulk.

Cell: 7.9258 7.9258 5.7159 Å, 90.00 90.00 120.00°
Fractional coordinates of all 16 atoms:
Sc1 0.0000 0.2598 0.2500
Sc2 0.0000 0.7402 0.7500
Sc3 0.2598 0.0000 0.2500
Sc4 0.2598 0.2598 0.7500
Sc5 0.3333 0.6667 0.0000
Sc6 0.3333 0.6667 0.5000
Sc7 0.6667 0.3333 0.0000
Sc8 0.6667 0.3333 0.5000
Sc9 0.7402 0.0000 0.7500
Sc10 0.7402 0.7402 0.2500
Re1 0.0000 0.4001 0.7500
Re2 0.0000 0.5999 0.2500
Re3 0.4001 0.0000 0.7500
Re4 0.4001 0.4001 0.2500
Re5 0.5999 0.0000 0.2500
Re6 0.5999 0.5999 0.7500

Summary:
Its space-group type is P6_3/mcm, No. 193. For the excess energy over the best structure of this formula in the dataset, the calculation gives 0.0 kJ/mol of formula units.

=====

The following is a PBE calculation of an optimized crystal structure of ScRe8, from Alexandria via LeMat-Bulk.

Cell: 6.2906 6.2906 6.2906 Å, 95.78 95.78 143.00°
Fractional coordinates of all 9 atoms:
Sc1 0.0000 0.0000 0.0000
Re1 0.0000 0.3438 0.3438
Re2 0.0000 0.6562 0.6562
Re3 0.3202 0.3202 0.6405
Re4 0.3202 0.6798 0.0000
Re5 0.3438 0.0000 0.3438
Re6 0.6562 0.0000 0.6562
Re7 0.6798 0.3202 0.0000
Re8 0.6798 0.6798 0.3595

Summary:
Its space-group type is I4/mmm, No. 139.

=====

The following is a PBE calculation of an optimized crystal structure of ScRe, from Alexandria via LeMat-Bulk.

Cell: 7.4337 7.4337 7.4337 Å, 90.00 90.00 90.00°
Fractional coordinates of all 12 atoms:
Sc1 0.0000 0.2500 0.5000
Sc2 0.0000 0.7500 0.5000
Sc3 0.2500 0.5000 0.0000
Sc4 0.5000 0.0000 0.2500
Sc5 0.5000 0.0000 0.7500
Sc6 0.7500 0.5000 0.0000
Re1 0.0000 0.5000 0.2500
Re2 0.0000 0.5000 0.7500
Re3 0.2500 0.0000 0.5000
Re4 0.5000 0.2500 0.0000
Re5 0.5000 0.7500 0.0000
Re6 0.7500 0.0000 0.5000

Summary:
Its space-group type is Pm-3n, No. 223.

=====

The following is a PBE calculation of an optimized crystal structure of Sc3Re, from Alexandria via LeMat-Bulk.

Cell: 9.5591 2.9425 5.6422 Å, 90.00 92.73 90.00°
Fractional coordinates of all 8 atoms:
Sc1 0.0000 0.0000 0.0000
Sc2 0.2450 0.0000 0.7281
Sc3 0.2550 0.5000 0.2719
Sc4 0.5000 0.5000 0.0000
Sc5 0.7450 0.5000 0.7281
Sc6 0.7550 0.0000 0.2719
Re1 0.0000 0.5000 0.5000
Re2 0.5000 0.0000 0.5000

Summary:
Its space-group type is C2/m, No. 12.

=====

The following is a PBE calculation of an optimized crystal structure of ScRe, from Alexandria via LeMat-Bulk.

Cell: 8.5883 4.6144 5.4604 Å, 90.00 90.00 90.00°
Fractional coordinates of all 12 atoms:
Sc1 0.0000 0.2474 0.0000
Sc2 0.1779 0.7399 0.7759
Sc3 0.3221 0.2601 0.2759
Sc4 0.5000 0.7526 0.5000
Sc5 0.6779 0.2601 0.2759
Sc6 0.8221 0.7399 0.7759
Re1 0.0000 0.2493 0.4973
Re2 0.1450 0.7608 0.2950
Re3 0.3550 0.2392 0.7950
Re4 0.5000 0.7507 0.9973
Re5 0.6450 0.2392 0.7950
Re6 0.8550 0.7608 0.2950

Summary:
Its space-group type is Pmn2_1, No. 31.

=====

Number 1: DOS at the Fermi energy 0.878 states/eV per atom, energy of formation 0.20 eV per atom, calculated volume 18.2 Å³/atom. Number 2: DOS at the Fermi energy 1.213 states/eV per atom, energy of formation 0.06 eV per atom, calculated volume 19.0 Å³/atom. Number 3: DOS at the Fermi energy 0.864 states/eV per atom, energy of formation -0.11 eV per atom, calculated volume 17.9 Å³/atom. Number 4: DOS at the Fermi energy 1.189 states/eV per atom, energy of formation 0.11 eV per atom, calculated volume 19.8 Å³/atom. Number 5: DOS at the Fermi energy 1.283 states/eV per atom, energy of formation 1.15 eV per atom, calculated volume 19.8 Å³/atom. Number 6: DOS at the Fermi energy 1.316 states/eV per atom, energy of formation 0.06 eV per atom, calculated volume 20.0 Å³/atom. Number 7: DOS at the Fermi energy 0.956 states/eV per atom, energy of formation -0.08 eV per atom, calculated volume 20.1 Å³/atom. Number 8: DOS at the Fermi energy 0.603 states/eV per atom, energy of formation 0.05 eV per atom, calculated volume 19.4 Å³/atom. Number 9: DOS at the Fermi energy 0.539 states/eV per atom, energy of formation 0.03 eV per atom, calculated volume 15.8 Å³/atom. Number 10: DOS at the Fermi energy 1.693 states/eV per atom, energy of formation 2.49 eV per atom, calculated volume 34.2 Å³/atom. Number 11: DOS at the Fermi energy 1.471 states/eV per atom, energy of formation 0.15 eV per atom, calculated volume 19.8 Å³/atom. Number 12: DOS at the Fermi energy 1.004 states/eV per atom, energy of formation 0.22 eV per atom, calculated volume 18.0 Å³/atom.